Record 1
A plane-wave DFT calculation with PBE was carried out for a geometry-optimized CaCuSeBr2 structure.

Unit cell a=5.5389 b=5.5389 c=5.7491 alpha=90.00 beta=90.00 gamma=90.00
With the nearest neighbours (Å) after each atom.
Space group P4/mmm (No. 123)
Asymmetric unit:
Ca1 0.0000 0.0000 0.0000 x1  4 Br 2.77, 2 Se 2.87
Cu1 0.5000 0.5000 0.5000 x1  4 Se 3.92, 8 Br 3.99
Se1 0.0000 0.0000 0.5000 x1  2 Ca 2.87
Br1 0.0000 0.5000 0.0000 x2  2 Ca 2.77

Output
ΔE_f (raw) = -1.42 eV per formula unit
E_tot = -14.35 eV/cell
Magnetization = 1.01 Bohr magnetons per cell
Excess energy over the best structure of this formula in the dataset = 0.481 eV per atom



Record 2
A plane-wave DFT calculation with PBE was carried out for a geometry-optimized Pm12Ho2In structure.

Unit cell a=6.6795 b=6.6795 c=23.7528 alpha=90.00 beta=90.00 gamma=90.00
With the nearest neighbours (Å) after each atom.
Space group P4/nbm (No. 125, origin choice 2)
Asymmetric unit:
Pm1 0.0036 0.5036 0.0924 x8  2 In 3.20-3.25, 6 Pm 3.34-3.48
Pm2 0.0835 0.5835 0.5656 x8  6 Pm 3.15-3.52
Pm3 0.2500 0.2500 0.2001 x4  1 Pm 3.03
Pm4 0.2500 0.2500 0.3277 x4  1 Pm 3.03
Ho1 0.2500 0.7500 0.2506 x4  8 Pm 3.55-3.81
In1 0.2500 0.7500 0.0000 x2  8 Pm 3.20-3.25

Output
E_tot = -130.64 eV/cell
Magnetization = 0.00 Bohr magnetons per cell
Energy of formation = 0.239 eV/atom



Record 3
A plane-wave DFT calculation with PBE was carried out for a geometry-optimized Mg2TlHg2 structure.

Unit cell a=8.3929 b=8.3929 c=3.4129 alpha=90.00 beta=90.00 gamma=90.00
With the nearest neighbours (Å) after each atom.
Space group P4/mbm (No. 127)
Asymmetric unit:
Mg1 0.1365 0.3635 0.0000 x4  6 Hg 2.95-3.03, 1 Mg 3.24, 2 Tl 3.26
Tl1 0.0000 0.0000 0.0000 x2  4 Mg 3.26, 2 Tl 3.41, 8 Hg 3.58
Hg1 0.1607 0.6607 0.5000 x4  6 Mg 2.95-3.03

Output
E_tot = -13.53 eV/cell
Magnetization = 0.00 Bohr magnetons per cell
Energy of formation = -0.121 eV/atom
Excess energy over the best structure of this formula in the dataset = 0.001 eV per atom



Record 4
A plane-wave DFT calculation with PBE was carried out for a geometry-optimized La12Zn3N4 structure.

Unit cell a=10.1470 b=10.1470 c=10.1470 alpha=90.00 beta=90.00 gamma=90.00
With the nearest neighbours (Å) after each atom.
Space group Im-3 (No. 204)
Asymmetric unit:
La1 0.0000 0.2766 0.2301 x24  2 N 2.56
Zn1 0.0000 0.0000 0.5000 x6  8 La 3.25-3.55
N1 0.2500 0.2500 0.2500 x8  6 La 2.56

Output
ΔE_f (raw) = -11.41 eV per formula unit
E_tot = -215.33 eV/cell
Magnetization = 0.00 Bohr magnetons per cell



Record 5
A plane-wave DFT calculation with PBE was carried out for a geometry-optimized BaNd2Cr2N6 structure.

Unit cell a=6.1373 b=6.2004 c=6.6227 alpha=92.21 beta=117.11 gamma=114.55
With the nearest neighbours (Å) after each atom.
Space group P-1 (No. 2)
Asymmetric unit:
Ba1 0.0000 0.0000 0.0000 x1  4 N 2.66-2.79
Nd1 0.4202 0.2979 0.6959 x2  4 N 2.38-2.55
Cr1 0.2099 0.6676 0.6803 x2  3 N 1.70-1.72
N1 0.1247 0.8953 0.6861 x2  1 Cr 1.70
N2 0.2227 0.5024 0.8817 x2  1 Cr 1.71
N3 0.4591 0.7058 0.6109 x2  1 Cr 1.72

Output
ΔE_f (raw) = -8.74 eV per formula unit
E_tot = -89.40 eV/cell
Magnetization = 0.00 Bohr magnetons per cell



Record 6
A plane-wave DFT calculation with PBE was carried out for a geometry-optimized Zn4AgPd3 structure.

Unit cell a=2.9838 b=4.4522 c=8.9459 alpha=90.00 beta=90.00 gamma=90.00
With the nearest neighbours (Å) after each atom.
Space group Pmmm (No. 47)
Asymmetric unit:
Zn1 0.0000 0.0000 0.0000 x1  8 Pd 2.68-2.69, 2 Zn 2.98
Zn2 0.0000 0.0000 0.5000 x1  4 Ag 2.68, 4 Pd 2.69, 2 Zn 2.98
Zn3 0.0000 0.5000 0.2416 x2  6 Pd 2.63-2.68, 2 Ag 2.75
Ag1 0.5000 0.5000 0.5000 x1  8 Zn 2.68-2.75, 2 Ag 2.98
Pd1 0.5000 0.0000 0.2502 x2  8 Zn 2.68-2.69, 2 Pd 2.98
Pd2 0.5000 0.5000 0.0000 x1  8 Zn 2.63-2.68

Output
E_tot = -26.80 eV/cell
Magnetization = 0.00 Bohr magnetons per cell
Energy of formation = -0.410 eV/atom



Please write out number 2 again, unchanged.
A plane-wave DFT calculation with PBE was carried out for a geometry-optimized Pm12Ho2In structure.

Unit cell a=6.6795 b=6.6795 c=23.7528 alpha=90.00 beta=90.00 gamma=90.00
With the nearest neighbours (Å) after each atom.
Space group P4/nbm (No. 125, origin choice 2)
Asymmetric unit:
Pm1 0.0036 0.5036 0.0924 x8  2 In 3.20-3.25, 6 Pm 3.34-3.48
Pm2 0.0835 0.5835 0.5656 x8  6 Pm 3.15-3.52
Pm3 0.2500 0.2500 0.2001 x4  1 Pm 3.03
Pm4 0.2500 0.2500 0.3277 x4  1 Pm 3.03
Ho1 0.2500 0.7500 0.2506 x4  8 Pm 3.55-3.81
In1 0.2500 0.7500 0.0000 x2  8 Pm 3.20-3.25

Output
E_tot = -130.64 eV/cell
Magnetization = 0.00 Bohr magnetons per cell
Energy of formation = 0.239 eV/atom